The following is a DFT calculation (PBE) of a relaxed structure of PmPrCo2.

It has space group P4/mmm (No. 123), with a = 4.905 Å, b = 4.905 Å, c = 3.473 Å, α = 90.00°, β = 90.00° and γ = 90.00°. The inequivalent atoms are Pm at (0.000, 0.000, 0.000), Pr at (0.500, 0.500, 0.000) and Co at (0.000, 0.500, 0.500).

Its total magnetization is 0.9 μB per cell. Its formation energy is 0.060 eV per atom.